Record 1
{"formula": "Nb2RhAu2", "functional": "PBE-GGA", "state": "optimized geometry", "lattice": [[2.836, -0.031, -0.501], [-0.157, 3.927, -1.131], [-0.322, 0.074, 7.693]], "species": ["Nb", "Nb", "Rh", "Au", "Au"], "frac_coords": [[0.066, 0.094, 0.188], [0.934, 0.906, 0.812], [0.500, 0.500, 0.000], [0.692, 0.697, 0.395], [0.308, 0.303, 0.605]], "vol_a3_per_atom": 17.043, "dos_at_fermi_per_ev_fu": 3.45, "m_tot_mub_per_atom": 0.00, "dft_energy_ev_per_atom": -7.0418, "delta_e_f_ev_per_atom": -0.233, "space_group": "No. 12"}


Record 2
{"formula": "Nb2RhAu", "functional": "PBE-GGA", "state": "optimized geometry", "lattice": [[-7.132, -1.694, -0.294], [1.376, -4.874, -5.307], [-2.493, -5.231, -0.912]], "species": ["Rh", "Rh", "Nb", "Nb", "Nb", "Nb", "Au", "Au"], "frac_coords": [[0.500, 0.500, 0.000], [0.250, 0.750, 0.500], [0.596, 0.125, 0.250], [0.154, 0.625, 0.250], [0.375, 0.404, 0.750], [0.875, 0.846, 0.750], [0.000, 0.000, 0.000], [0.750, 0.250, 0.500]], "vol_a3_per_atom": 18.428, "dos_at_fermi_per_ev_fu": 4.17, "m_tot_mub_per_atom": 0.00, "dft_energy_ev_per_atom": -7.5383, "delta_e_f_ev_per_atom": 0.154, "space_group": "No. 122"}